Material: TaFeO2
Method: DFT, PBE with a Hubbard U
State: optimized geometry

Lattice parameters (Å, degrees): 3.0900 3.0900 18.6796 90.00 90.00 120.00
With the nearest neighbours (Å) after each atom.
Fractional positions:
Ta 0.0000 0.0000 0.0000  2 O 1.95
Ta 0.3333 0.6667 0.6667  2 O 1.95
Ta 0.6667 0.3333 0.3333  2 O 1.95
Fe 0.0000 0.0000 0.5000  6 O 2.13
Fe 0.3333 0.6667 0.1667  6 O 2.13
Fe 0.6667 0.3333 0.8333  6 O 2.13
O 0.0000 0.0000 0.1044  1 Ta 1.95, 3 Fe 2.13
O 0.0000 0.0000 0.8956  1 Ta 1.95, 3 Fe 2.13
O 0.3333 0.6667 0.5623  1 Ta 1.95, 3 Fe 2.13
O 0.3333 0.6667 0.7711  1 Ta 1.95, 3 Fe 2.13
O 0.6667 0.3333 0.2289  1 Ta 1.95, 3 Fe 2.13
O 0.6667 0.3333 0.4377  1 Ta 1.95, 3 Fe 2.13

Properties
Energy above the most stable polymorph in this dataset, meV/atom: 99.8
Total moment, μB/f.u.: 3.8

=====

Material: TaFeO4
Method: DFT, PBE with a Hubbard U
State: optimized geometry

Lattice parameters (Å, degrees): 5.6478 5.6478 5.6478 107.28 107.28 113.96
With the nearest neighbours (Å) after each atom.
Fractional positions:
Ta 0.0000 0.0000 0.0000  6 O 1.94-2.06
Ta 0.7500 0.2500 0.5000  6 O 1.94-2.06
Fe 0.2590 0.7590 0.5000  6 O 2.03-2.08
Fe 0.5090 0.5090 0.0000  6 O 2.03-2.08
O 0.0069 0.3101 0.3032  2 Ta 2.03-2.06, 1 Fe 2.04
O 0.0069 0.7037 0.6968  2 Ta 2.03-2.06, 1 Fe 2.04
O 0.0601 0.2569 0.8032  2 Ta 2.03-2.06, 1 Fe 2.04
O 0.4537 0.2569 0.1968  2 Ta 2.03-2.06, 1 Fe 2.04
O 0.5206 0.2182 0.6976  1 Ta 1.94, 2 Fe 2.03-2.08
O 0.5206 0.8230 0.3024  1 Ta 1.94, 2 Fe 2.03-2.08
O 0.5730 0.7706 0.8024  1 Ta 1.94, 2 Fe 2.03-2.08
O 0.9682 0.7706 0.1976  1 Ta 1.94, 2 Fe 2.03-2.08

Properties
Total moment, μB/f.u.: 5.0
E_tot, eV per atom: -8.492

=====

Material: ThTaFeO6
Method: DFT, PBE with a Hubbard U
State: optimized geometry

Lattice parameters (Å, degrees): 4.9321 4.9321 9.8764 90.00 90.00 90.00
With the nearest neighbours (Å) after each atom.
Fractional positions:
Th 0.0000 0.0000 0.0000  6 O 2.27-2.38
Th 0.5000 0.5000 0.5000  6 O 2.27-2.38
Ta 0.0000 0.0000 0.6651  6 O 1.97-2.06
Ta 0.5000 0.5000 0.1651  6 O 1.97-2.06
Fe 0.0000 0.0000 0.3303  6 O 2.05-2.10
Fe 0.5000 0.5000 0.8303  6 O 2.05-2.10
O 0.1748 0.1748 0.4975  1 Fe 2.05, 1 Ta 2.06, 1 Th 2.27
O 0.2007 0.2007 0.8056  1 Ta 1.97, 1 Fe 2.10
O 0.2106 0.2106 0.1788  1 Ta 2.02, 1 Fe 2.10
O 0.2894 0.7106 0.6788  1 Ta 2.02, 1 Fe 2.10
O 0.2993 0.7007 0.3056  1 Ta 1.97, 1 Fe 2.10
O 0.3252 0.6748 0.9975  1 Fe 2.05, 1 Ta 2.06, 1 Th 2.27
O 0.6748 0.3252 0.9975  1 Fe 2.05, 1 Ta 2.06, 1 Th 2.27
O 0.7007 0.2993 0.3056  1 Ta 1.97, 1 Fe 2.10
O 0.7106 0.2894 0.6788  1 Ta 2.02, 1 Fe 2.10
O 0.7894 0.7894 0.1788  1 Ta 2.02, 1 Fe 2.10
O 0.7993 0.7993 0.8056  1 Ta 1.97, 1 Fe 2.10
O 0.8252 0.8252 0.4975  1 Fe 2.05, 1 Ta 2.06, 1 Th 2.27

Properties
Total moment, μB/f.u.: 5.0
E_tot, eV per atom: -8.785

=====

Material: TaTiFeO6
Method: DFT, PBE with a Hubbard U
State: optimized geometry

Lattice parameters (Å, degrees): 4.7051 4.7051 9.1028 90.00 90.00 90.00
With the nearest neighbours (Å) after each atom.
Fractional positions:
Ta 0.0000 0.0000 0.0000  6 O 1.99-2.02
Ta 0.5000 0.5000 0.5000  6 O 1.99-2.02
Ti 0.0000 0.0000 0.6655  6 O 1.97-1.99
Ti 0.5000 0.5000 0.1655  6 O 1.97-1.99
Fe 0.0000 0.0000 0.3338  6 O 2.03-2.05
Fe 0.5000 0.5000 0.8338  6 O 2.03-2.05
O 0.1926 0.1926 0.8314  1 Ti 1.98, 1 Ta 2.00, 1 Fe 2.05
O 0.1970 0.1970 0.5039  1 Ti 1.97, 1 Ta 2.02, 1 Fe 2.03
O 0.2003 0.2003 0.1621  1 Ta 1.99, 1 Ti 1.99, 1 Fe 2.05
O 0.2997 0.7003 0.6621  1 Ta 1.99, 1 Ti 1.99, 1 Fe 2.05
O 0.3030 0.6970 0.0039  1 Ti 1.97, 1 Ta 2.02, 1 Fe 2.03
O 0.3074 0.6926 0.3314  1 Ti 1.98, 1 Ta 2.00, 1 Fe 2.05
O 0.6926 0.3074 0.3314  1 Ti 1.98, 1 Ta 2.00, 1 Fe 2.05
O 0.6970 0.3030 0.0039  1 Ti 1.97, 1 Ta 2.02, 1 Fe 2.03
O 0.7003 0.2997 0.6621  1 Ta 1.99, 1 Ti 1.99, 1 Fe 2.05
O 0.7997 0.7997 0.1621  1 Ta 1.99, 1 Ti 1.99, 1 Fe 2.05
O 0.8030 0.8030 0.5039  1 Ti 1.97, 1 Ta 2.02, 1 Fe 2.03
O 0.8074 0.8074 0.8314  1 Ti 1.98, 1 Ta 2.00, 1 Fe 2.05

Properties
Total moment, μB/f.u.: 5.0
E_tot, eV per atom: -8.648

=====

Material: TaTl3Fe2O9
Method: DFT, PBE with a Hubbard U
State: optimized geometry

Lattice parameters (Å, degrees): 5.6433 5.6433 7.0066 90.00 90.00 120.00
With the nearest neighbours (Å) after each atom.
Fractional positions:
Ta 0.0000 0.0000 0.0000  6 O 1.99
Tl 0.0000 0.0000 0.5000  12 O 2.82-2.83
Tl 0.3333 0.6667 0.2250  3 O 2.52
Tl 0.6667 0.3333 0.7750  3 O 2.52
Fe 0.3333 0.6667 0.6798  6 O 1.97-2.06
Fe 0.6667 0.3333 0.3202  6 O 1.97-2.06
O 0.0000 0.5000 0.5000  2 Fe 2.06
O 0.1643 0.3287 0.8321  1 Fe 1.97, 1 Ta 1.99
O 0.1643 0.8357 0.8321  1 Fe 1.97, 1 Ta 1.99
O 0.3287 0.1643 0.1679  1 Fe 1.97, 1 Ta 1.99
O 0.5000 0.0000 0.5000  2 Fe 2.06
O 0.5000 0.5000 0.5000  2 Fe 2.06
O 0.6713 0.8357 0.8321  1 Fe 1.97, 1 Ta 1.99
O 0.8357 0.1643 0.1679  1 Fe 1.97, 1 Ta 1.99
O 0.8357 0.6713 0.1679  1 Fe 1.97, 1 Ta 1.99

Properties
Total moment, μB/f.u.: 9.6
E_tot, eV per atom: -6.223

=====

Material: TaVFe2O6
Method: DFT, PBE with a Hubbard U
State: optimized geometry

Lattice parameters (Å, degrees): 5.2685 5.2702 5.5693 62.48 62.34 60.29
With the nearest neighbours (Å) after each atom.
Fractional positions:
Ta 0.0000 0.0000 0.0000  6 O 1.95-2.09
V 0.4964 0.5062 0.4990  6 O 2.02-2.14
Fe 0.2026 0.2065 0.3807  6 O 2.07-2.30
Fe 0.7003 0.7159 0.8662  4 O 2.03-2.24
O 0.1209 0.7835 0.7173  1 V 2.02, 1 Ta 2.05, 2 Fe 2.13-2.24
O 0.2662 0.6375 0.2124  1 Ta 1.95, 1 V 2.11, 1 Fe 2.16
O 0.3697 0.1349 0.7073  1 V 2.02, 1 Ta 2.08, 2 Fe 2.12-2.18
O 0.6339 0.8850 0.2010  1 Ta 1.97, 1 V 2.13, 1 Fe 2.16
O 0.7678 0.3877 0.7250  1 V 2.02, 1 Fe 2.03, 1 Ta 2.09
O 0.8891 0.2656 0.2180  1 Ta 1.97, 1 Fe 2.07, 1 V 2.14

Properties
Total moment, μB/f.u.: 10.0
E_tot, eV per atom: -8.103

=====

Material: TaV2FeO6
Method: DFT, PBE with a Hubbard U
State: optimized geometry

Lattice parameters (Å, degrees): 5.2541 5.2736 5.6345 116.97 90.75 119.75
With the nearest neighbours (Å) after each atom.
Fractional positions:
Ta 0.0000 0.0000 0.0000  6 O 1.95-2.10
V 0.1993 0.4015 0.6010  6 O 2.04-2.10
V 0.6976 0.3978 0.0994  6 O 2.13-2.22
Fe 0.4891 0.9822 0.4806  3 O 2.03-2.09
O 0.1035 0.9151 0.3061  1 Fe 2.03, 1 Ta 2.10, 2 V 2.10-2.15
O 0.2694 0.8825 0.8123  1 Ta 1.95, 1 V 2.08
O 0.3824 0.4834 0.2991  2 V 2.07-2.13, 1 Ta 2.08, 1 Fe 2.09
O 0.6104 0.5451 0.8156  1 Ta 1.96, 1 V 2.04
O 0.8131 0.1980 0.3036  2 V 2.05-2.13, 1 Fe 2.08, 1 Ta 2.10
O 0.9172 0.1947 0.8062  1 Ta 1.97, 1 V 2.08

Properties
Total moment, μB/f.u.: 9.0
E_tot, eV per atom: -8.348

=====

Material: Ta2FeWO
Method: DFT, PBE with a Hubbard U
State: optimized geometry

Lattice parameters (Å, degrees): 4.9616 4.9616 3.4357 90.00 90.00 90.00
With the nearest neighbours (Å) after each atom.
Fractional positions:
Ta 0.0000 0.5000 0.0000  2 Fe 2.48
Ta 0.5000 0.0000 0.0000  2 Fe 2.48
Fe 0.0000 0.0000 0.0000  2 O 1.72
W 0.5000 0.5000 0.5000  8 Ta 3.02
O 0.0000 0.0000 0.5000  2 Fe 1.72

Properties
Total moment, μB/f.u.: 3.8
E_tot, eV per atom: -7.259

=====

Material: YTaFe2O
Method: DFT, PBE with a Hubbard U
State: optimized geometry

Lattice parameters (Å, degrees): 4.5501 4.5501 5.9403 90.00 90.00 90.00
With the nearest neighbours (Å) after each atom.
Fractional positions:
Y 0.0000 0.0000 0.0000  2 Ta 2.97, 4 O 3.22
Ta 0.0000 0.0000 0.5000  4 Fe 2.28
Fe 0.0000 0.5000 0.5000  2 Ta 2.28
Fe 0.5000 0.0000 0.5000  2 Ta 2.28
O 0.5000 0.5000 0.0000  4 Y 3.22

Properties
Total moment, μB/f.u.: 5.9
E_tot, eV per atom: -5.347

=====

Material: Yb2TaFeO6
Method: DFT, PBE with a Hubbard U
State: optimized geometry

Lattice parameters (Å, degrees): 5.3923 5.3943 5.4348 90.40 119.66 119.59
With the nearest neighbours (Å) after each atom.
Fractional positions:
Yb 0.0181 0.2521 0.2712  5 O 2.31-2.40
Yb 0.9819 0.7479 0.7288  5 O 2.31-2.40
Ta 0.5000 0.5000 0.0000  6 O 1.98
Fe 0.5000 0.0000 0.5000  6 O 1.94-1.96
O 0.0044 0.8041 0.3041  1 Fe 1.94, 1 Ta 1.98
O 0.4076 0.7532 0.1588  1 Fe 1.96, 1 Ta 1.98
O 0.4984 0.6988 0.6944  1 Fe 1.94, 1 Ta 1.98
O 0.5016 0.3012 0.3056  1 Fe 1.94, 1 Ta 1.98
O 0.5924 0.2468 0.8412  1 Fe 1.96, 1 Ta 1.98
O 0.9956 0.1959 0.6959  1 Fe 1.94, 1 Ta 1.98

Properties
Total moment, μB/f.u.: 1.0
E_tot, eV per atom: -7.704

=====

Material: TaZnFe2O6
Method: DFT, PBE with a Hubbard U
State: optimized geometry

Lattice parameters (Å, degrees): 5.1440 5.1548 5.5657 92.12 115.38 119.29
With the nearest neighbours (Å) after each atom.
Fractional positions:
Ta 0.0000 0.0000 0.0000  6 O 1.93-2.11
Zn 0.9480 0.4817 0.4305  3 O 2.00-2.02
Fe 0.3862 0.6913 0.0736  6 O 1.98-2.01
Fe 0.4159 0.2050 0.6122  4 O 2.02-2.14
O 0.2067 0.2864 0.8174  1 Ta 1.96, 2 Fe 2.00-2.02
O 0.2087 0.4166 0.2794  1 Fe 1.98, 1 Zn 2.00, 1 Ta 2.06
O 0.4818 0.0741 0.2855  2 Fe 1.98-2.13, 1 Zn 2.02, 1 Ta 2.11
O 0.5352 0.9039 0.8185  1 Ta 1.93, 2 Fe 2.01-2.14
O 0.8656 0.7955 0.2740  1 Fe 1.98, 1 Zn 2.00, 1 Ta 2.06
O 0.9268 0.6213 0.8078  1 Ta 1.97, 2 Fe 2.01-2.13

Properties
Total moment, μB/f.u.: 5.0
E_tot, eV per atom: -7.162

=====

Material: Ta2Zn2FeO8
Method: DFT, PBE with a Hubbard U
State: optimized geometry

Lattice parameters (Å, degrees): 10.2008 10.2008 5.3183 90.23 90.23 33.80
With the nearest neighbours (Å) after each atom.
Fractional positions:
Ta 0.0409 0.7279 0.7328  5 O 1.85-2.03
Ta 0.2721 0.9591 0.7672  5 O 1.85-2.03
Ta 0.7279 0.0409 0.2328  5 O 1.85-2.03
Ta 0.9591 0.2721 0.2672  5 O 1.85-2.03
Zn 0.1285 0.4351 0.2290  4 O 1.96-2.13
Zn 0.4351 0.1285 0.7290  4 O 1.96-2.13
Zn 0.5649 0.8715 0.2710  4 O 1.96-2.13
Zn 0.8715 0.5649 0.7710  4 O 1.96-2.13
Fe 0.3527 0.6473 0.2500  6 O 2.15-2.19
Fe 0.6473 0.3527 0.7500  6 O 2.15-2.19
O 0.0442 0.8150 0.0684  2 Ta 2.00-2.03, 1 Fe 2.19
O 0.0732 0.2815 0.5683  1 Zn 1.96, 1 Ta 2.02
O 0.1563 0.4557 0.8590  3 Zn 1.98-2.13, 1 Ta 2.03
O 0.1850 0.9558 0.4316  2 Ta 2.00-2.03, 1 Fe 2.19
O 0.2815 0.0732 0.0683  1 Zn 1.96, 1 Ta 2.02
O 0.3163 0.5638 0.5965  1 Ta 1.85
O 0.4362 0.6837 0.9035  1 Ta 1.85
O 0.4557 0.1563 0.3590  3 Zn 1.98-2.13, 1 Ta 2.03
O 0.5443 0.8437 0.6410  3 Zn 1.98-2.13, 1 Ta 2.03
O 0.5638 0.3163 0.0965  1 Ta 1.85
O 0.6837 0.4362 0.4035  1 Ta 1.85
O 0.7185 0.9268 0.9317  1 Zn 1.96, 1 Ta 2.02
O 0.8150 0.0442 0.5684  2 Ta 2.00-2.03, 1 Fe 2.19
O 0.8437 0.5443 0.1410  3 Zn 1.98-2.13, 1 Ta 2.03
O 0.9268 0.7185 0.4317  1 Zn 1.96, 1 Ta 2.02
O 0.9558 0.1850 0.9316  2 Ta 2.00-2.03, 1 Fe 2.19

Properties
Total moment, μB/f.u.: 4.0
E_tot, eV per atom: -7.701

=====

- Among the records above, which one has the highest total moment?
  TaVFe2O6

=====

- The highest total moment belongs to which entry?
  TaVFe2O6

=====

- Look up the total moment of the third one.
  5.0 μB/f.u.

=====

- What is the formula in the seventh record?
  TaV2FeO6